# 1
# CeTm3Al4 PBE-GGA relaxed
# ΔE_f in meV/atom: -358
# Space group: No. 51
# DOS at the Fermi energy in states/eV/cell: 14.42
# Magnetization in Bohr magnetons per cell: 1.43
data_CeTm3Al4
_chemical_formula_sum 'Ce2 Tm6 Al8'
_cell_length_a 10.049
_cell_length_b 7.298
_cell_length_c 5.026
_cell_angle_alpha 90.00
_cell_angle_beta 90.00
_cell_angle_gamma 90.00
_space_group_name_H-M_alt 'P 1'
_space_group_IT_number 1
loop_
_space_group_symop_operation_xyz
'x,y,z'
loop_
_atom_site_label
_atom_site_fract_x
_atom_site_fract_y
_atom_site_fract_z
Ce1 0.000 0.000 0.000
Ce2 0.500 0.000 0.000
Tm1 0.000 0.500 0.000
Tm2 0.250 0.000 0.499
Tm3 0.250 0.500 0.499
Tm4 0.500 0.500 0.000
Tm5 0.750 0.000 0.501
Tm6 0.750 0.500 0.501
Al1 0.000 0.259 0.500
Al2 0.000 0.741 0.500
Al3 0.250 0.259 0.999
Al4 0.250 0.741 0.999
Al5 0.500 0.259 0.500
Al6 0.500 0.741 0.500
Al7 0.750 0.259 0.001
Al8 0.750 0.741 0.001

=====

# 2
# MgCoPS2 PBE-GGA relaxed
# Relative energy among the computed polymorphs in meV/atom: 0
# Space group: No. 123
# DOS at the Fermi energy in states/eV/cell: 3.88
# Magnetization in Bohr magnetons per cell: 0.00
# Formation energy from raw total energies in eV/atom: 0.07
data_MgCoPS2
_chemical_formula_sum 'Mg1 Co1 P1 S2'
_cell_length_a 4.736
_cell_length_b 4.736
_cell_length_c 4.051
_cell_angle_alpha 90.00
_cell_angle_beta 90.00
_cell_angle_gamma 90.00
_space_group_name_H-M_alt 'P 1'
_space_group_IT_number 1
loop_
_space_group_symop_operation_xyz
'x,y,z'
loop_
_atom_site_label
_atom_site_fract_x
_atom_site_fract_y
_atom_site_fract_z
Mg1 0.000 0.000 0.000
Co1 0.500 0.500 0.500
P1 0.500 0.500 0.000
S1 0.000 0.500 0.500
S2 0.500 0.000 0.500

=====

# 3
# UFeSn PBE-GGA relaxed
# ΔE_f in meV/atom: 35
# Space group: No. 59
# DOS at the Fermi energy in states/eV/cell: 9.38
# Magnetization in Bohr magnetons per cell: 1.81
data_UFeSn
_chemical_formula_sum 'U2 Fe2 Sn2'
_cell_length_a 4.382
_cell_length_b 4.516
_cell_length_c 6.534
_cell_angle_alpha 90.00
_cell_angle_beta 90.00
_cell_angle_gamma 90.00
_space_group_name_H-M_alt 'P 1'
_space_group_IT_number 1
loop_
_space_group_symop_operation_xyz
'x,y,z'
loop_
_atom_site_label
_atom_site_fract_x
_atom_site_fract_y
_atom_site_fract_z
U1 0.250 0.250 0.098
U2 0.750 0.750 0.902
Fe1 0.250 0.750 0.180
Fe2 0.750 0.250 0.820
Sn1 0.250 0.250 0.593
Sn2 0.750 0.750 0.407

=====

# 4
# TbNd4Tm2Mg PBE-GGA relaxed
# ΔE_f in meV/atom: 47
# Space group: No. 123
# DOS at the Fermi energy in states/eV/cell: 10.19
# Magnetization in Bohr magnetons per cell: 0.00
data_TbNd4Tm2Mg
_chemical_formula_sum 'Tb1 Nd4 Tm2 Mg1'
_cell_length_a 5.747
_cell_length_b 5.747
_cell_length_c 7.786
_cell_angle_alpha 90.00
_cell_angle_beta 90.00
_cell_angle_gamma 90.00
_space_group_name_H-M_alt 'P 1'
_space_group_IT_number 1
loop_
_space_group_symop_operation_xyz
'x,y,z'
loop_
_atom_site_label
_atom_site_fract_x
_atom_site_fract_y
_atom_site_fract_z
Tb1 0.000 0.000 0.000
Nd1 0.000 0.500 0.261
Nd2 0.000 0.500 0.739
Nd3 0.500 0.000 0.261
Nd4 0.500 0.000 0.739
Tm1 0.000 0.000 0.500
Tm2 0.500 0.500 0.000
Mg1 0.500 0.500 0.500

=====

# 5
# Li3CaAl2 PBE-GGA relaxed
# ΔE_f in meV/atom: -96
# Space group: No. 63
# DOS at the Fermi energy in states/eV/cell: 4.46
# Magnetization in Bohr magnetons per cell: 0.00
data_Li3CaAl2
_chemical_formula_sum 'Li6 Ca2 Al4'
_cell_length_a 6.788
_cell_length_b 6.788
_cell_length_c 5.497
_cell_angle_alpha 90.00
_cell_angle_beta 90.00
_cell_angle_gamma 84.68
_space_group_name_H-M_alt 'P 1'
_space_group_IT_number 1
loop_
_space_group_symop_operation_xyz
'x,y,z'
loop_
_atom_site_label
_atom_site_fract_x
_atom_site_fract_y
_atom_site_fract_z
Li1 0.022 0.978 0.750
Li2 0.073 0.559 0.750
Li3 0.441 0.927 0.750
Li4 0.559 0.073 0.250
Li5 0.927 0.441 0.250
Li6 0.978 0.022 0.250
Ca1 0.333 0.667 0.250
Ca2 0.667 0.333 0.750
Al1 0.238 0.238 0.000
Al2 0.238 0.238 0.500
Al3 0.762 0.762 0.000
Al4 0.762 0.762 0.500

=====

# 6
# Mn2CoS5 PBE-GGA relaxed
# Space group: No. 69
# DOS at the Fermi energy in states/eV/cell: 5.48
# Magnetization in Bohr magnetons per cell: 3.60
# Formation energy from raw total energies in eV/atom: -0.12
data_Mn2CoS5
_chemical_formula_sum 'Mn2 Co1 S5'
_cell_length_a 8.309
_cell_length_b 6.387
_cell_length_c 6.099
_cell_angle_alpha 83.40
_cell_angle_beta 49.78
_cell_angle_gamma 46.82
_space_group_name_H-M_alt 'P 1'
_space_group_IT_number 1
loop_
_space_group_symop_operation_xyz
'x,y,z'
loop_
_atom_site_label
_atom_site_fract_x
_atom_site_fract_y
_atom_site_fract_z
Mn1 0.190 0.190 0.810
Mn2 0.810 0.810 0.190
Co1 0.500 0.500 0.500
S1 0.000 0.000 0.000
S2 0.225 0.467 0.533
S3 0.467 0.225 0.775
S4 0.533 0.775 0.225
S5 0.775 0.533 0.467